Record 1
## RbZnGa2Rh (PBE)

Data for an optimized crystal structure of RbZnGa2Rh.

a = 4.8600 Å, b = 4.8600 Å, c = 5.0519 Å
α = 90.00°, β = 90.00°, γ = 90.00°
Atoms (fractional coordinates):
1 Ga 0.0000 0.5000 0.0000
2 Ga 0.5000 0.0000 0.0000
3 Zn 0.0000 0.0000 0.5000
4 Rb 0.5000 0.5000 0.5000
5 Rh 0.0000 0.0000 0.0000

Space-group type: P4/mmm (123)
Formation enthalpy at 0 K (eV per atom): -0.281
Calculated total energy (eV/atom): -3.41
DOS(E_F) (states/eV per atom): 0.23

---

Record 2
## FeTc2Os (PBE)

Data for an optimized crystal structure of FeTc2Os.

a = 2.6493 Å, b = 2.6493 Å, c = 8.8776 Å
α = 90.00°, β = 90.00°, γ = 114.32°
Atoms (fractional coordinates):
1 Os 0.5000 0.5000 0.7500
2 Tc 0.0000 0.0000 0.0072
3 Tc 0.0000 0.0000 0.4928
4 Fe 0.5000 0.5000 0.2500

Space-group type: Cmmm (65)
Formation enthalpy at 0 K (eV per atom): 0.348
Calculated total energy (eV/atom): -9.76
Excess energy over the best structure of this formula in the dataset (meV per atom): 270
DOS(E_F) (states/eV per atom): 1.27

---

Record 3
## K2NaP2Pt (PBE)

Data for an optimized crystal structure of K2NaP2Pt.

a = 6.4693 Å, b = 6.6322 Å, c = 8.5552 Å
α = 112.81°, β = 112.22°, γ = 90.00°
Atoms (fractional coordinates):
1 K 0.5930 0.8243 0.6486
2 K 0.0556 0.3243 0.6486
3 K 0.9444 0.6757 0.3514
4 K 0.4070 0.1757 0.3514
5 Pt 0.5000 0.7500 0.0000
6 Pt 0.5000 0.2500 0.0000
7 P 0.6005 0.4125 0.8251
8 P 0.2246 0.9125 0.8251
9 P 0.7754 0.0875 0.1749
10 P 0.3995 0.5875 0.1749
11 Na 0.0000 0.2500 0.0000
12 Na 0.0000 0.7500 0.0000

Space-group type: Ibam (72)
Formation enthalpy at 0 K (eV per atom): -0.347
Calculated total energy (eV/atom): -3.74
DOS(E_F) (states/eV per atom): 0.50

---

Record 4
## TaMnSiOs (PBE)

Data for an optimized crystal structure of TaMnSiOs.

a = 4.2692 Å, b = 4.2692 Å, c = 4.2692 Å
α = 60.00°, β = 60.00°, γ = 60.00°
Atoms (fractional coordinates):
1 Os 0.7500 0.7500 0.7500
2 Ta 0.0000 0.0000 0.0000
3 Si 0.5000 0.5000 0.5000
4 Mn 0.2500 0.2500 0.2500

Space-group type: F-43m (216)
Formation energy without anion corrections (eV/atom): -0.381
Calculated total energy (eV/atom): -9.80
DOS(E_F) (states/eV per atom): 0.20

---

Record 5
## PrMgCuNi (PBE)

Data for an optimized crystal structure of PrMgCuNi.

a = 4.7763 Å, b = 4.7763 Å, c = 4.7763 Å
α = 60.00°, β = 60.00°, γ = 60.00°
Atoms (fractional coordinates):
1 Cu 0.7500 0.7500 0.7500
2 Mg 0.0000 0.0000 0.0000
3 Ni 0.2500 0.2500 0.2500
4 Pr 0.5000 0.5000 0.5000

Space-group type: F-43m (216)
Formation enthalpy at 0 K (eV per atom): -0.142
Calculated total energy (eV/atom): -4.20
DOS(E_F) (states/eV per atom): 0.79

---

Record 6
## MgMnZn2 (PBE)

Data for an optimized crystal structure of MgMnZn2.

a = 4.6836 Å, b = 4.6836 Å, c = 5.0764 Å
α = 81.00°, β = 81.00°, γ = 35.31°
Atoms (fractional coordinates):
1 Mg 0.2500 0.2500 0.2500
2 Mn 0.7500 0.7500 0.7500
3 Zn 0.4947 0.4947 0.5222
4 Zn 0.0053 0.0053 0.9778

Space-group type: C2/m (12)
Formation enthalpy at 0 K (eV per atom): 0.083
Calculated total energy (eV/atom): -3.25
DOS(E_F) (states/eV per atom): 0.52